[1]
Computed, not measured: a geometry-optimized Cu3RuW structure at the PBE level of DFT.

Calculated values
The space group is Pm-3m. Its energy of formation is 9.9 eV/f.u. The energy above the most stable polymorph in this dataset is 0 meV/atom.

Lattice parameters (Å, degrees): 4.4380 4.4380 4.4380 90.00 90.00 90.00
Positions (direct):
Cu: 0.0000 0.5000 0.0000
Cu: 0.0000 0.0000 0.5000
W: 0.5000 0.5000 0.5000
Ru: 0.0000 0.0000 0.0000
Cu: 0.5000 0.0000 0.0000

=====

[2]
Computed, not measured: a geometry-optimized CuRuW2 structure at the PBE level of DFT.

Calculated values
The space group is P4mm. Its energy of formation is 0.9 eV/f.u. The energy above the most stable polymorph in this dataset is 62 meV/atom.

Lattice parameters (Å, degrees): 3.2083 3.2083 5.7096 90.00 90.00 90.00
Positions (direct):
Cu: 0.0000 0.0000 0.5004
W: 0.5000 0.5000 0.2648
W: 0.0000 0.0000 0.9954
Ru: 0.5000 0.5000 0.7394

=====

[3]
Computed, not measured: a geometry-optimized CuRu2W2 structure at the PBE level of DFT.

Calculated values
The space group is P4/mbm. Its energy of formation is 1.5 eV/f.u.

Lattice parameters (Å, degrees): 7.4271 7.4271 2.8566 90.00 90.00 90.00
Positions (direct):
Cu: 0.0000 0.0000 0.0000
W: 0.3388 0.1612 0.5000
W: 0.6612 0.8388 0.5000
W: 0.1612 0.6612 0.5000
Ru: 0.8640 0.6360 0.0000
Ru: 0.3640 0.8640 0.0000
Cu: 0.5000 0.5000 0.0000
Ru: 0.1360 0.3640 0.0000
W: 0.8388 0.3388 0.5000
Ru: 0.6360 0.1360 0.0000

=====

[4]
Computed, not measured: a geometry-optimized Cu2RuW structure at the PBE level of DFT.

Calculated values
The space group is R-3m. Its energy of formation is 1.4 eV/f.u. The energy above the most stable polymorph in this dataset is 176 meV/atom.

Lattice parameters (Å, degrees): 9.0127 9.0127 9.0127 17.14 17.14 17.14
Site moments in Bohr magnetons follow the coordinates.
Positions (direct):
Ru: 0.2500 0.2500 0.2500  0.35
W: 0.7500 0.7500 0.7500  0.00
Cu: 0.9986 0.9986 0.9986  0.02
Cu: 0.5014 0.5014 0.5014  0.02

=====

[5]
Computed, not measured: a geometry-optimized Cu2RuW structure at the PBE level of DFT.

Calculated values
The space group is I4/mmm. Its energy of formation is 0.9 eV/f.u. The energy above the most stable polymorph in this dataset is 63 meV/atom.

Lattice parameters (Å, degrees): 4.8057 4.8057 4.8057 135.20 135.22 65.20
Positions (direct):
W: 0.2500 0.7500 0.5000
Cu: 0.0000 0.0000 0.0000
Cu: 0.5000 0.5000 0.0000
Ru: 0.7500 0.2500 0.5000

=====

[6]
Computed, not measured: a geometry-optimized Cu2RuW structure at the PBE level of DFT.

Calculated values
The space group is Pmm2. Its energy of formation is 0.8 eV/f.u. The energy above the most stable polymorph in this dataset is 28 meV/atom.

Lattice parameters (Å, degrees): 2.7806 3.6851 5.3706 90.00 90.00 90.00
Positions (direct):
Cu: 0.5000 0.5000 0.2320
W: 0.5000 0.5000 0.7425
Ru: 0.0000 0.0000 0.5074
Cu: 0.0000 0.0000 0.0181

=====

[7]
Computed, not measured: a geometry-optimized CuRuW2 structure at the PBE level of DFT.

Calculated values
The space group is P4/mmm. Its energy of formation is 0.7 eV/f.u. The energy above the most stable polymorph in this dataset is 14 meV/atom.

Lattice parameters (Å, degrees): 3.9168 3.8555 3.8555 90.00 90.00 90.00
Positions (direct):
W: 0.0000 0.0000 0.0000
Cu: 0.5000 0.5000 0.0000
Ru: 0.5000 0.0000 0.5000
W: 0.0000 0.5000 0.5000

=====

[8]
Computed, not measured: a geometry-optimized CuRuW2 structure at the PBE level of DFT.

Calculated values
The space group is F-43m. Its energy of formation is 1.3 eV/f.u. The energy above the most stable polymorph in this dataset is 147 meV/atom.

Lattice parameters (Å, degrees): 4.3763 4.3763 4.3763 60.00 60.00 60.00
Positions (direct):
W: 0.0000 0.0000 0.0000
Cu: 0.5000 0.5000 0.5000
Ru: 0.7500 0.7500 0.7500
W: 0.2500 0.2500 0.2500

=====

[9]
Computed, not measured: a geometry-optimized CuRuW2 structure at the PBE level of DFT.

Calculated values
The space group is R-3m. Its energy of formation is 1.1 eV/f.u. The energy above the most stable polymorph in this dataset is 100 meV/atom.

Lattice parameters (Å, degrees): 9.1935 9.1935 9.1935 17.25 17.25 17.25
Positions (direct):
W: 0.4998 0.4998 0.4998
Cu: 0.2500 0.2500 0.2500
Ru: 0.7500 0.7500 0.7500
W: 0.0002 0.0002 0.0002

=====

[10]
Computed, not measured: a geometry-optimized CuRuW2 structure at the PBE level of DFT.

Calculated values
The space group is P4mm. Its energy of formation is 1.1 eV/f.u. The energy above the most stable polymorph in this dataset is 95 meV/atom.

Lattice parameters (Å, degrees): 2.7703 2.7703 7.7055 90.00 90.00 90.00
Positions (direct):
W: 0.5000 0.5000 0.2661
Cu: 0.0000 0.0000 0.5080
Ru: 0.5000 0.5000 0.7451
W: 0.0000 0.0000 0.9808

=====

[11]
Computed, not measured: a geometry-optimized CuRuW2 structure at the PBE level of DFT.

Calculated values
The space group is I-4m2. Its energy of formation is 1.2 eV/f.u. The energy above the most stable polymorph in this dataset is 121 meV/atom.

Lattice parameters (Å, degrees): 4.7711 4.7711 4.7711 131.97 131.97 70.28
Positions (direct):
W: 0.0000 0.0000 0.0000
Ru: 0.7500 0.2500 0.5000
Cu: 0.5000 0.5000 0.0000
W: 0.2500 0.7500 0.5000

=====

[12]
Computed, not measured: a geometry-optimized Cu2RuW structure at the PBE level of DFT.

Calculated values
The space group is Pmmm. Its energy of formation is 1.1 eV/f.u. The energy above the most stable polymorph in this dataset is 118 meV/atom.

Lattice parameters (Å, degrees): 3.6448 3.6727 4.0668 90.00 90.00 90.00
Positions (direct):
Cu: 0.0000 0.0000 0.0000
W: 0.0000 0.5000 0.5000
Cu: 0.5000 0.5000 0.0000
Ru: 0.5000 0.0000 0.5000